Computed, not measured: CsInI2O8 after structural relaxation at the GGA-PBE level of DFT.

Output
E = -4.4935 eV/atom
Calculated volume = 242.9 Å³ per cell
Formation energy (no corrections) = -0.630 eV/atom

Cell lengths 5.7284, 5.7284, 9.1633 Å; angles 71.79, 71.79, 60.00 degrees
Each line ends with the local moment (μB).
Atoms (fractional coordinates):
O 0.6320 0.2478 0.1517  0.23
I 0.7264 0.7264 0.8209  0.10
O 0.9686 0.6320 0.1517  0.23
Cs 0.5000 0.5000 0.5000  0.00
O 0.2478 0.9686 0.1517  0.23
I 0.2736 0.2736 0.1791  0.10
O 0.2038 0.2038 0.3885  0.01
O 0.7962 0.7962 0.6115  0.01
O 0.3680 0.7522 0.8483  0.23
O 0.7522 0.0314 0.8483  0.23
O 0.0314 0.3680 0.8483  0.23
In 0.0000 0.0000 0.0000  0.00

***

Computed, not measured: Co2NiMo after structural relaxation at the GGA-PBE level of DFT.

Output
E = -7.5247 eV/atom
Formation energy = 0.181 eV per atom
Calculated volume = 49.2 Å³ per cell

Cell lengths 8.5261, 8.5261, 8.5261 Å; angles 17.56, 17.56, 17.56 degrees
Each line ends with the local moment (μB).
Atoms (fractional coordinates):
Ni 0.7500 0.7500 0.7500  0.57
Co 0.0042 0.0042 0.0042  1.35
Co 0.4958 0.4958 0.4958  1.35
Mo 0.2500 0.2500 0.2500  -0.18

***

Computed, not measured: Ce2NdInC after structural relaxation at the GGA-PBE level of DFT.

Output
E = -6.0354 eV/atom
Formation energy = -0.316 eV per atom
Calculated volume = 127.7 Å³ per cell

Cell lengths 5.1997, 4.9558, 4.9558 Å; angles 90.00, 90.00, 90.00 degrees
Each line ends with the local moment (μB).
Atoms (fractional coordinates):
Nd 0.5000 0.0000 0.0000  0.02
C 0.0000 0.0000 0.0000  -0.03
Ce 0.0000 0.5000 0.0000  0.45
In 0.5000 0.5000 0.5000  -0.02
Ce 0.0000 0.0000 0.5000  0.45

***

Computed, not measured: K2TiF6 after structural relaxation at the GGA-PBE level of DFT.

Output
E = -5.6300 eV/atom
Calculated volume = 138.8 Å³ per cell
Formation energy (no corrections) = -3.261 eV/atom

Cell lengths 4.7442, 5.8132, 5.8129 Å; angles 120.01, 90.02, 90.00 degrees
Atoms (fractional coordinates):
F 0.2233 0.6878 0.8439
F 0.2233 0.1561 0.8439
K 0.3040 0.6667 0.3333
F 0.7767 0.8439 0.1561
Ti 0.0000 0.0000 0.0000
F 0.2235 0.1561 0.3122
F 0.7765 0.8439 0.6878
F 0.7767 0.3122 0.1561
K 0.6960 0.3333 0.6667